No. 1
Compound: Pr2GaPb
Source: the Alexandria database
Functional: PBE-GGA
Structure: relaxed

Geometry as extended XYZ:
```
4
Lattice="3.5767 0.0000 0.0000 0.0000 3.5767 0.0000 0.0000 0.0000 8.8438" Properties=species:S:1:pos:R:3 pbc="T T T"
Pr 0.0000 0.0000 2.0150
Pb 1.7884 1.7884 4.4219
Pr 0.0000 0.0000 6.8289
Ga 1.7884 1.7884 0.0000
```

Calculated values
Raw total energy ... -4.595 eV/atom
DFT formation energy ... -12.0 kcal/mol of atoms
Volume ... 28.3 Å³ per atom

***

No. 2
Compound: DyTmHgPt
Source: the Alexandria database
Functional: PBE-GGA
Structure: relaxed

Geometry as extended XYZ:
```
4
Lattice="5.0599 0.0000 0.0000 2.5300 4.3820 0.0000 2.5300 1.4607 4.1314" Properties=species:S:1:pos:R:3 pbc="T T T"
Hg 7.5899 4.3820 3.0986
Dy 5.0599 2.9214 2.0657
Tm 0.0000 0.0000 0.0000
Pt 2.5300 1.4607 1.0329
```

Calculated values
Raw total energy ... -4.690 eV/atom
DFT formation energy ... -19.3 kcal/mol of atoms
Energy above the most stable polymorph in this dataset ... 46.0 meV/atom
Volume ... 22.9 Å³ per atom

***

No. 3
Compound: KAcSm2S4
Source: the Alexandria database
Functional: PBE-GGA
Structure: relaxed

Geometry as extended XYZ:
```
8
Lattice="-0.4171 -3.4753 -2.1557 -0.5635 -3.8286 6.2812 -6.9175 -0.3202 1.8546" Properties=species:S:1:pos:R:3 pbc="T T T"
K -3.7405 -2.0744 4.0679
Ac -0.4903 -3.6519 2.0628
Sm -6.9175 -0.3202 1.8546
Sm -3.6673 -1.8977 -0.1505
S -5.6226 -2.8384 1.7444
S -2.3104 -4.4350 -0.2421
S -2.2755 -4.7856 4.2358
S -5.5877 -3.1890 6.2223
```

Calculated values
Raw total energy ... -5.810 eV/atom
Volume ... 25.8 Å³ per atom

***

No. 4
Compound: NpUAs
Source: the Alexandria database
Functional: PBE-GGA
Structure: relaxed

Geometry as extended XYZ:
```
6
Lattice="3.5722 0.0000 -0.0300 0.0000 5.0094 0.0000 -1.7304 0.0000 6.6047" Properties=species:S:1:pos:R:3 pbc="T T T"
Np 1.8169 3.7570 3.6672
Np 0.0249 1.2523 2.9075
As 1.8314 1.2523 5.2894
U 0.0453 3.7570 5.3812
U 1.7965 1.2523 1.1934
As 0.0104 3.7570 1.2853
```

Calculated values
Raw total energy ... -10.096 eV/atom
DFT formation energy ... -10.8 kcal/mol of atoms
Energy above the most stable polymorph in this dataset ... 167.3 meV/atom
Volume ... 19.7 Å³ per atom